Entry 1:
The following is a DFT calculation (GGA-PBE) of crystalline CaGa3Au at its relaxed geometry.

Computed properties:
ΔH_f (0 K) in eV/atom: 0.907
Symmetry: Pm-3m (221)
Spin magnetization in μB/cell: 0.000

```
5
Lattice="5.535 0.000 0.000 0.000 5.535 0.000 0.000 0.000 5.535" Properties=species:S:1:pos:R:3 pbc="T T T"
Ca 0.000 0.000 0.000
Ga 0.000 0.000 2.767
Ga 0.000 2.767 0.000
Ga 2.767 0.000 0.000
Au 2.767 2.767 2.767
```

=====

Entry 2:
The following is a DFT calculation (GGA-PBE) of crystalline MgCd2Cu2 at its relaxed geometry.

Computed properties:
ΔH_f (0 K) in eV/atom: 0.144
Symmetry: I4/mmm (139)
Spin magnetization in μB/cell: 0.000

```
5
Lattice="-2.022 2.022 5.981 2.022 -2.022 5.981 2.022 2.022 -5.981" Properties=species:S:1:pos:R:3 pbc="T T T"
Mg 0.000 0.000 0.000
Cd 2.022 0.000 2.990
Cd 0.000 2.022 2.990
Cu 0.000 0.000 4.825
Cu 0.000 0.000 7.136
```

=====

Entry 3:
The following is a DFT calculation (GGA-PBE) of crystalline ThNpC at its relaxed geometry.

Computed properties:
ΔH_f (0 K) in eV/atom: 0.494
Symmetry: I4mm (107)
Spin magnetization in μB/cell: 3.242

```
3
Lattice="-1.632 1.632 6.375 1.632 -1.632 6.375 1.632 1.632 -6.375" Properties=species:S:1:pos:R:3 pbc="T T T"
Th 0.000 0.000 0.000
Np 0.000 0.000 9.356
C 0.000 0.000 2.371
```

=====

Entry 4:
The following is a DFT calculation (GGA-PBE) of crystalline Ba2SrAu2 at its relaxed geometry.

Computed properties:
ΔH_f (0 K) in eV/atom: -0.417
Symmetry: I4/mmm (139)
Spin magnetization in μB/cell: 0.000

```
5
Lattice="-2.642 2.642 6.938 2.642 -2.642 6.938 2.642 2.642 -6.938" Properties=species:S:1:pos:R:3 pbc="T T T"
Ba 2.642 0.000 3.469
Ba 0.000 2.642 3.469
Sr 0.000 0.000 0.000
Au 0.000 0.000 5.538
Au 0.000 0.000 8.337
```

=====

Entry 5:
The following is a DFT calculation (GGA-PBE) of crystalline Li2CrTe at its relaxed geometry.

Computed properties:
Symmetry: I-42d (122)
Spin magnetization in μB/cell: 0.144
Formation energy from raw total energies in eV/atom: 0.43

```
8
Lattice="-3.841 3.841 2.526 3.841 -3.841 2.526 3.841 3.841 -2.526" Properties=species:S:1:pos:R:3 pbc="T T T"
Li 5.762 1.839 -0.632
Li 1.839 1.921 0.632
Li -1.921 2.003 1.895
Li 2.003 1.921 3.158
Cr 3.841 0.000 1.263
Cr 0.000 0.000 2.526
Te 0.000 0.000 0.000
Te 0.000 3.841 1.263
```

=====

Entry 6:
The following is a DFT calculation (GGA-PBE) of crystalline SrNi3Cl at its relaxed geometry.

Computed properties:
Symmetry: Pm-3m (221)
Spin magnetization in μB/cell: 0.946
Formation energy from raw total energies in eV/atom: 1.69

```
5
Lattice="5.031 0.000 0.000 0.000 5.031 0.000 0.000 0.000 5.031" Properties=species:S:1:pos:R:3 pbc="T T T"
Sr 0.000 0.000 0.000
Ni 0.000 0.000 2.515
Ni 0.000 2.515 0.000
Ni 2.515 0.000 0.000
Cl 2.515 2.515 2.515
```

=====

Entry 7:
The following is a DFT calculation (GGA-PBE) of crystalline Er6IrRu2 at its relaxed geometry.

Computed properties:
ΔH_f (0 K) in eV/atom: -0.473
Symmetry: Fmmm (69)
Spin magnetization in μB/cell: 0.000

```
9
Lattice="0.000 6.490 7.134 2.374 0.000 7.134 2.374 6.490 0.000" Properties=species:S:1:pos:R:3 pbc="T T T"
Er 2.374 1.662 7.134
Er 2.374 4.830 4.747
Er 2.374 8.151 4.747
Er 2.374 4.830 9.521
Er 2.374 8.151 9.521
Er 2.374 11.319 7.134
Ir 2.374 6.490 7.134
Ru 2.374 6.490 2.380
Ru 2.374 6.490 11.889
```

=====

Entry 8:
The following is a DFT calculation (GGA-PBE) of crystalline GaCuRe3 at its relaxed geometry.

Computed properties:
ΔH_f (0 K) in eV/atom: 2.173
Symmetry: Pm-3m (221)
Spin magnetization in μB/cell: 0.000

```
5
Lattice="4.503 0.000 0.000 0.000 4.503 0.000 0.000 0.000 4.503" Properties=species:S:1:pos:R:3 pbc="T T T"
Ga 0.000 0.000 0.000
Cu 2.252 2.252 2.252
Re 0.000 0.000 2.252
Re 0.000 2.252 0.000
Re 2.252 0.000 0.000
```

=====

Entry 9:
The following is a DFT calculation (GGA-PBE) of crystalline Cs3Pm3CrS8 at its relaxed geometry.

Computed properties:
Symmetry: R-3m (166)
Spin magnetization in μB/cell: 1.936
Formation energy from raw total energies in eV/atom: -1.48

```
15
Lattice="4.035 2.329 8.239 -4.035 2.329 8.239 0.000 -4.659 8.239" Properties=species:S:1:pos:R:3 pbc="T T T"
Cs -2.017 -1.165 8.239
Cs -2.017 1.165 16.477
Cs 0.000 2.329 8.239
Pm -4.035 0.000 12.358
Pm -2.017 1.165 4.119
Pm 2.017 1.165 4.119
Cr 0.000 0.000 12.358
S 0.000 0.000 5.670
S -1.784 -1.030 13.752
S 0.000 -2.060 10.965
S -1.784 1.030 10.965
S 1.784 -1.030 13.752
S 0.000 2.060 13.752
S 1.784 1.030 10.965
S 0.000 0.000 19.047
```

=====

Entry 10:
The following is a DFT calculation (GGA-PBE) of crystalline Nd7Tl2Cu2 at its relaxed geometry.

Computed properties:
ΔH_f (0 K) in eV/atom: -0.024
Symmetry: Cmmm (65)
Spin magnetization in μB/cell: 0.000

```
11
Lattice="4.124 -5.781 0.000 4.124 5.781 0.000 0.000 0.000 7.261" Properties=species:S:1:pos:R:3 pbc="T T T"
Nd 0.000 0.000 0.000
Nd 2.062 2.890 1.866
Nd 2.062 2.890 5.395
Nd 2.062 -2.890 1.866
Nd 2.062 -2.890 5.395
Nd 4.124 0.000 1.727
Nd 4.124 0.000 5.535
Tl 1.458 0.000 3.631
Tl 6.790 0.000 3.631
Cu 4.124 2.417 0.000
Cu 4.124 -2.417 0.000
```

=====

Entry 11:
The following is a DFT calculation (GGA-PBE) of crystalline TeIrPt2 at its relaxed geometry.

Computed properties:
Symmetry: Cmm2 (35)
Spin magnetization in μB/cell: 0.000
Formation energy from raw total energies in eV/atom: 0.47

```
4
Lattice="1.451 -2.530 0.000 1.451 2.530 0.000 0.000 0.000 9.616" Properties=species:S:1:pos:R:3 pbc="T T T"
Te 0.000 0.000 0.000
Ir 1.451 0.000 7.226
Pt 0.000 0.000 4.959
Pt 1.451 0.000 2.619
```

=====

Entry 12:
The following is a DFT calculation (GGA-PBE) of crystalline ErCu4Si2 at its relaxed geometry.

Computed properties:
Symmetry: Cmmm (65)
Spin magnetization in μB/cell: 0.000
Formation energy from raw total energies in eV/atom: -0.38

```
7
Lattice="1.987 -6.478 0.000 1.987 6.478 0.000 0.000 0.000 3.980" Properties=species:S:1:pos:R:3 pbc="T T T"
Er 0.000 0.000 0.000
Cu 1.987 4.056 1.990
Cu 1.987 2.414 0.000
Cu 1.987 -2.414 0.000
Cu 1.987 -4.056 1.990
Si 1.987 1.188 1.990
Si 1.987 -1.188 1.990
```

=====

What is the spin magnetization in the eighth record? 0.000 μB/cell